Below is a geometry-optimized KSrAg structure, with properties calculated at the PBE level.

Cell lengths 8.1358, 8.1365, 4.0864 Å; angles 75.45, 75.47, 29.09 degrees
Positions (direct):
Sr 0.6230 0.6230 0.3770
Ag 0.0154 0.0154 0.9846
K 0.3616 0.3616 0.6384

energy relative to the lowest polymorph listed for this composition: 0.000 eV per atom
calculated formation energy: -0.049 eV per atom
crystal system: tetragonal

Below is a geometry-optimized LiSiBIr structure, with properties calculated at the PBE level.

Cell lengths 3.9812, 3.9812, 3.9812 Å; angles 60.00, 60.00, 60.00 degrees
Positions (direct):
Si 0.5000 0.5000 0.5000
Ir 0.2500 0.2500 0.2500
Li 0.7500 0.7500 0.7500
B 0.0000 0.0000 0.0000

crystal system: cubic

Listing electronic total energy for the structures above in their given order: -0.1415; -0.4248 Ry per atom.
Listing magnetization for the structures above in their given order: 0.0; 0.0 μB per cell.